# 1
Crystalline TiVReTc at its relaxed geometry. Source: Alexandria via LeMat-Bulk, functional PBE-GGA.

CIF file:
```
data_TiVReTc
_cell_length_a 3.0669
_cell_length_b 3.0669
_cell_length_c 6.1642
_cell_angle_alpha 90.00
_cell_angle_beta 90.00
_cell_angle_gamma 90.00
_symmetry_space_group_name_H-M 'P 1'
_symmetry_Int_Tables_number 1
_symmetry_space_group_name_Hall 'P 1'
loop_
_atom_site_label
_atom_site_fract_x
_atom_site_fract_y
_atom_site_fract_z
Ti1 0.0000 0.0000 0.3588
V1 0.0000 0.0000 0.8561
Re1 0.5000 0.5000 0.0989
Tc1 0.5000 0.5000 0.6142
```

Summary:
- energy relative to the elements (eV/atom) = -0.42
- space-group type = P4mm (99)
- E above lowest polymorph (kJ/mol of formula units) = 0
- magnetization (μB per formula unit) = 0.0

# 2
Crystalline Nd3Y2Tl3 at its relaxed geometry. Source: Alexandria via LeMat-Bulk, functional PBE-GGA.

CIF file:
```
data_Nd3Y2Tl3
_cell_length_a 4.4575
_cell_length_b 5.1022
_cell_length_c 11.1611
_cell_angle_alpha 103.21
_cell_angle_beta 101.52
_cell_angle_gamma 90.00
_symmetry_space_group_name_H-M 'P 1'
_symmetry_Int_Tables_number 1
_symmetry_space_group_name_Hall 'P 1'
loop_
_atom_site_label
_atom_site_fract_x
_atom_site_fract_y
_atom_site_fract_z
Nd1 0.6193 0.6193 0.2386
Nd2 0.3807 0.3807 0.7614
Nd3 0.5000 0.0000 0.0000
Y1 0.7368 0.2368 0.4737
Y2 0.2632 0.7632 0.5263
Tl1 0.1304 0.1304 0.2607
Tl2 0.0000 0.5000 0.0000
Tl3 0.8696 0.8696 0.7393
```

Summary:
- energy relative to the elements (eV/atom) = -0.28
- space-group type = Immm (71)
- magnetization (μB per formula unit) = 0.5